# 1
First-principles (PBE) data for an optimized crystal structure of BaPm2Ag2Pb2, as listed in the Alexandria database.

SG = R-3m, No. 166

a = 10.1262 Å, b = 10.1262 Å, c = 10.1262 Å
α = 29.01°, β = 29.01°, γ = 29.01°
Closest atoms and distances in Å follow each position.
Positions (direct):
Ba 0.0000 0.0000 0.0000  6 Pb 3.69, 2 Pm 4.01
Pm 0.1380 0.1380 0.1380  3 Ag 3.01, 3 Pm 3.37
Pm 0.8620 0.8620 0.8620  3 Ag 3.01, 3 Pm 3.37
Ag 0.4468 0.4468 0.4468  3 Pm 3.01, 1 Ag 3.09, 3 Pb 3.11
Ag 0.5532 0.5532 0.5532  3 Pm 3.01, 1 Ag 3.09, 3 Pb 3.11
Pb 0.2559 0.2559 0.2559  3 Ag 3.11, 4 Pm 3.42-3.43
Pb 0.7441 0.7441 0.7441  3 Ag 3.11, 4 Pm 3.42-3.43


# 2
First-principles (PBE) data for an optimized crystal structure of BaPmAgPb, as listed in the Alexandria database.

SG = F-43m, No. 216

a = 8.0434 Å, b = 8.0434 Å, c = 8.0434 Å
α = 90.00°, β = 90.00°, γ = 90.00°
Closest atoms and distances in Å follow each position.
Positions (direct):
Ba 0.0000 0.0000 0.0000  4 Ag 3.48, 4 Pb 3.48
Ba 0.0000 0.5000 0.5000  4 Ag 3.48, 4 Pb 3.48
Ba 0.5000 0.0000 0.5000  4 Ag 3.48, 4 Pb 3.48
Ba 0.5000 0.5000 0.0000  4 Ag 3.48, 4 Pb 3.48
Pm 0.0000 0.0000 0.5000  4 Pb 3.48, 4 Ag 3.48
Pm 0.0000 0.5000 0.0000  4 Pb 3.48, 4 Ag 3.48
Pm 0.5000 0.0000 0.0000  4 Pb 3.48, 4 Ag 3.48
Pm 0.5000 0.5000 0.5000  4 Pb 3.48, 4 Ag 3.48
Ag 0.2500 0.2500 0.7500  4 Ba 3.48, 4 Pm 3.48
Ag 0.2500 0.7500 0.2500  4 Ba 3.48, 4 Pm 3.48
Ag 0.7500 0.2500 0.2500  4 Ba 3.48, 4 Pm 3.48
Ag 0.7500 0.7500 0.7500  4 Ba 3.48, 4 Pm 3.48
Pb 0.2500 0.2500 0.2500  4 Ba 3.48, 4 Pm 3.48
Pb 0.2500 0.7500 0.7500  4 Ba 3.48, 4 Pm 3.48
Pb 0.7500 0.2500 0.7500  4 Ba 3.48, 4 Pm 3.48
Pb 0.7500 0.7500 0.2500  4 Ba 3.48, 4 Pm 3.48


# 3
First-principles (PBE) data for an optimized crystal structure of BaPrAgPb, as listed in the Alexandria database.

SG = F-43m, No. 216

a = 8.0940 Å, b = 8.0940 Å, c = 8.0940 Å
α = 90.00°, β = 90.00°, γ = 90.00°
Closest atoms and distances in Å follow each position.
Positions (direct):
Ba 0.0000 0.0000 0.0000  4 Pb 3.50, 4 Ag 3.50
Ba 0.0000 0.5000 0.5000  4 Pb 3.50, 4 Ag 3.50
Ba 0.5000 0.0000 0.5000  4 Pb 3.50, 4 Ag 3.50
Ba 0.5000 0.5000 0.0000  4 Pb 3.50, 4 Ag 3.50
Pr 0.0000 0.0000 0.5000  4 Pb 3.50, 4 Ag 3.50
Pr 0.0000 0.5000 0.0000  4 Pb 3.50, 4 Ag 3.50
Pr 0.5000 0.0000 0.0000  4 Pb 3.50, 4 Ag 3.50
Pr 0.5000 0.5000 0.5000  4 Pb 3.50, 4 Ag 3.50
Ag 0.2500 0.2500 0.2500  4 Ba 3.50, 4 Pr 3.50
Ag 0.2500 0.7500 0.7500  4 Ba 3.50, 4 Pr 3.50
Ag 0.7500 0.2500 0.7500  4 Ba 3.50, 4 Pr 3.50
Ag 0.7500 0.7500 0.2500  4 Ba 3.50, 4 Pr 3.50
Pb 0.2500 0.2500 0.7500  4 Ba 3.50, 4 Pr 3.50
Pb 0.2500 0.7500 0.2500  4 Ba 3.50, 4 Pr 3.50
Pb 0.7500 0.2500 0.2500  4 Ba 3.50, 4 Pr 3.50
Pb 0.7500 0.7500 0.7500  4 Ba 3.50, 4 Pr 3.50


# 4
First-principles (PBE) data for an optimized crystal structure of Ba2AgPt4Pb3, as listed in the Alexandria database.

SG = P-4m2, No. 115

a = 4.8308 Å, b = 4.8308 Å, c = 11.1474 Å
α = 90.00°, β = 90.00°, γ = 90.00°
Closest atoms and distances in Å follow each position.
Positions (direct):
Ba 0.0000 0.5000 0.2486  8 Pt 3.66-3.70, 6 Pb 3.68-3.71, 2 Ag 3.68
Ba 0.5000 0.0000 0.7514  8 Pt 3.66-3.70, 6 Pb 3.68-3.71, 2 Ag 3.68
Ag 0.5000 0.5000 0.0000  4 Pt 2.82
Pt 0.0000 0.0000 0.5000  4 Pb 2.77
Pt 0.0000 0.5000 0.8692  3 Pb 2.76-2.82, 2 Ag 2.82
Pt 0.5000 0.0000 0.1308  3 Pb 2.76-2.82, 2 Ag 2.82
Pt 0.5000 0.5000 0.5000  4 Pb 2.77
Pb 0.0000 0.0000 0.0000  4 Pt 2.82
Pb 0.0000 0.5000 0.6213  5 Pt 2.76-2.77
Pb 0.5000 0.0000 0.3787  5 Pt 2.76-2.77


| no. | energy (eV per atom) | DOS(E_F) (states/eV/cell) | formation energy (kJ per mole of atoms) |
| --- | --- | --- | --- |
| 1 | -3.895 | 1.4 | -37.5 |
| 2 | -3.647 | 6.5 | -32.7 |
| 3 | -3.670 | 6.4 | -34.2 |
| 4 | -4.659 | 4.1 | -44.5 |